Density functional theory data (PBE) for KLiMo4 after structural relaxation.

Calculated values
Electronic total energy, eV/atom: -6.615
Space group: F-43m (216)
DFT formation energy, eV/atom: 1.1072

```
data_KLiMo4
_cell_length_a 5.461
_cell_length_b 5.461
_cell_length_c 5.461
_cell_angle_alpha 60.00
_cell_angle_beta 60.00
_cell_angle_gamma 60.00
_space_group_name_H-M_alt 'P 1'
_space_group_IT_number 1
loop_
_space_group_symop_operation_xyz
'x,y,z'
loop_
_atom_site_label
_atom_site_fract_x
_atom_site_fract_y
_atom_site_fract_z
Li1 0.000 0.000 0.000
Mo1 0.876 0.375 0.375
Mo2 0.375 0.375 0.375
Mo3 0.375 0.375 0.876
Mo4 0.375 0.876 0.375
K1 0.750 0.750 0.750
```

=====

Density functional theory data (PBE) for KLi2Mo after structural relaxation.

Calculated values
Electronic total energy, eV/atom: -2.758
Space group: I-42d (122)
Energy relative to the lowest polymorph listed for this composition, meV/atom: 473
DFT formation energy, eV/atom: 1.1806

```
data_KLi2Mo
_cell_length_a 8.214
_cell_length_b 8.214
_cell_length_c 6.716
_cell_angle_alpha 52.30
_cell_angle_beta 52.30
_cell_angle_gamma 90.00
_space_group_name_H-M_alt 'P 1'
_space_group_IT_number 1
loop_
_space_group_symop_operation_xyz
'x,y,z'
loop_
_atom_site_label
_atom_site_fract_x
_atom_site_fract_y
_atom_site_fract_z
Li1 0.091 0.625 0.250
Li2 0.659 0.125 0.250
Li3 0.875 0.909 0.750
Li4 0.375 0.341 0.750
Mo1 0.000 0.000 0.000
Mo2 0.750 0.250 0.500
K1 0.500 0.500 0.000
K2 0.250 0.750 0.500
```

=====

Density functional theory data (PBE) for KLi2Mo after structural relaxation.

Calculated values
Electronic total energy, eV/atom: -3.212
Space group: P4mm (99)
Energy relative to the lowest polymorph listed for this composition, meV/atom: 19
DFT formation energy, eV/atom: 0.7267

```
data_KLi2Mo
_cell_length_a 2.815
_cell_length_b 2.815
_cell_length_c 10.449
_cell_angle_alpha 90.00
_cell_angle_beta 90.00
_cell_angle_gamma 90.00
_space_group_name_H-M_alt 'P 1'
_space_group_IT_number 1
loop_
_space_group_symop_operation_xyz
'x,y,z'
loop_
_atom_site_label
_atom_site_fract_x
_atom_site_fract_y
_atom_site_fract_z
K1 0.500 0.500 0.735
Li1 0.000 0.000 0.051
Li2 0.500 0.500 0.262
Mo1 0.000 0.000 0.452
```

=====

Density functional theory data (PBE) for KLi3Mo after structural relaxation.

Calculated values
Electronic total energy, eV/atom: -2.114
Space group: Pm-3m (221)
Energy relative to the lowest polymorph listed for this composition, meV/atom: 443
DFT formation energy, eV/atom: 1.4201

```
data_KLi3Mo
_cell_length_a 5.043
_cell_length_b 5.043
_cell_length_c 5.043
_cell_angle_alpha 90.00
_cell_angle_beta 90.00
_cell_angle_gamma 90.00
_space_group_name_H-M_alt 'P 1'
_space_group_IT_number 1
loop_
_space_group_symop_operation_xyz
'x,y,z'
loop_
_atom_site_label
_atom_site_fract_x
_atom_site_fract_y
_atom_site_fract_z
Li1 0.500 0.000 0.000
Li2 0.000 0.000 0.500
Li3 0.000 0.500 0.000
Mo1 0.500 0.500 0.500
K1 0.000 0.000 0.000
```

=====

Density functional theory data (PBE) for KLi2Mo after structural relaxation.

Calculated values
Electronic total energy, eV/atom: -2.813
Space group: I-4m2 (119)
Energy relative to the lowest polymorph listed for this composition, meV/atom: 419
DFT formation energy, eV/atom: 1.1265

```
data_KLi2Mo
_cell_length_a 6.090
_cell_length_b 6.090
_cell_length_c 6.090
_cell_angle_alpha 136.00
_cell_angle_beta 136.00
_cell_angle_gamma 63.99
_space_group_name_H-M_alt 'P 1'
_space_group_IT_number 1
loop_
_space_group_symop_operation_xyz
'x,y,z'
loop_
_atom_site_label
_atom_site_fract_x
_atom_site_fract_y
_atom_site_fract_z
Li1 0.250 0.750 0.500
Li2 0.000 0.000 0.000
K1 0.750 0.250 0.500
Mo1 0.500 0.500 0.000
```

=====

Density functional theory data (PBE) for KLiMo3 after structural relaxation.

Calculated values
Electronic total energy, eV/atom: -4.972
Space group: Pm-3m (221)
Energy relative to the lowest polymorph listed for this composition, meV/atom: 0
DFT formation energy, eV/atom: 2.1286

```
data_KLiMo3
_cell_length_a 4.531
_cell_length_b 4.531
_cell_length_c 4.531
_cell_angle_alpha 90.00
_cell_angle_beta 90.00
_cell_angle_gamma 90.00
_space_group_name_H-M_alt 'P 1'
_space_group_IT_number 1
loop_
_space_group_symop_operation_xyz
'x,y,z'
loop_
_atom_site_label
_atom_site_fract_x
_atom_site_fract_y
_atom_site_fract_z
Mo1 0.000 0.500 0.000
Mo2 0.000 0.000 0.500
Mo3 0.500 0.000 0.000
K1 0.500 0.500 0.500
Li1 0.000 0.000 0.000
```

=====

Density functional theory data (PBE) for KLiMo2 after structural relaxation.

Calculated values
Electronic total energy, eV/atom: -4.068
Space group: Fm-3m (225)
Energy relative to the lowest polymorph listed for this composition, meV/atom: 1458
DFT formation energy, eV/atom: 2.1005

```
data_KLiMo2
_cell_length_a 4.680
_cell_length_b 4.680
_cell_length_c 4.680
_cell_angle_alpha 60.00
_cell_angle_beta 60.00
_cell_angle_gamma 60.00
_space_group_name_H-M_alt 'P 1'
_space_group_IT_number 1
loop_
_space_group_symop_operation_xyz
'x,y,z'
loop_
_atom_site_label
_atom_site_fract_x
_atom_site_fract_y
_atom_site_fract_z
Mo1 0.250 0.250 0.250
Mo2 0.750 0.750 0.750
K1 0.500 0.500 0.500
Li1 0.000 0.000 0.000
```

=====

Density functional theory data (PBE) for KLi2Mo after structural relaxation.

Calculated values
Electronic total energy, eV/atom: -2.787
Space group: Pmmm (47)
Energy relative to the lowest polymorph listed for this composition, meV/atom: 444
DFT formation energy, eV/atom: 1.1517

```
data_KLi2Mo
_cell_length_a 3.422
_cell_length_b 5.803
_cell_length_c 5.330
_cell_angle_alpha 90.00
_cell_angle_beta 90.00
_cell_angle_gamma 90.00
_space_group_name_H-M_alt 'P 1'
_space_group_IT_number 1
loop_
_space_group_symop_operation_xyz
'x,y,z'
loop_
_atom_site_label
_atom_site_fract_x
_atom_site_fract_y
_atom_site_fract_z
Mo1 0.500 0.000 0.500
Li1 0.000 0.000 0.000
Li2 0.500 0.500 0.000
K1 0.000 0.500 0.500
```

=====

Density functional theory data (PBE) for KLiMo2 after structural relaxation.

Calculated values
Electronic total energy, eV/atom: -5.133
Space group: Imm2 (44)
Energy relative to the lowest polymorph listed for this composition, meV/atom: 394
DFT formation energy, eV/atom: 1.0357

```
data_KLiMo2
_cell_length_a 6.214
_cell_length_b 6.214
_cell_length_c 6.214
_cell_angle_alpha 150.21
_cell_angle_beta 121.55
_cell_angle_gamma 66.98
_space_group_name_H-M_alt 'P 1'
_space_group_IT_number 1
loop_
_space_group_symop_operation_xyz
'x,y,z'
loop_
_atom_site_label
_atom_site_fract_x
_atom_site_fract_y
_atom_site_fract_z
K1 0.509 0.509 0.000
Mo1 0.966 0.966 0.000
Mo2 0.806 0.306 0.500
Li1 0.218 0.718 0.500
```

=====

Density functional theory data (PBE) for KLiMo2 after structural relaxation.

Calculated values
Electronic total energy, eV/atom: -5.099
Space group: Pmmm (47)
Energy relative to the lowest polymorph listed for this composition, meV/atom: 427
DFT formation energy, eV/atom: 1.0695

```
data_KLiMo2
_cell_length_a 2.984
_cell_length_b 4.456
_cell_length_c 5.842
_cell_angle_alpha 90.00
_cell_angle_beta 90.00
_cell_angle_gamma 90.00
_space_group_name_H-M_alt 'P 1'
_space_group_IT_number 1
loop_
_space_group_symop_operation_xyz
'x,y,z'
loop_
_atom_site_label
_atom_site_fract_x
_atom_site_fract_y
_atom_site_fract_z
Mo1 0.500 0.500 0.000
Mo2 0.000 0.000 0.000
K1 0.500 0.000 0.500
Li1 0.000 0.500 0.500
```

=====

Density functional theory data (PBE) for KLi2Mo after structural relaxation.

Calculated values
Electronic total energy, eV/atom: -3.105
Space group: Pm (6)
Energy relative to the lowest polymorph listed for this composition, meV/atom: 126
DFT formation energy, eV/atom: 0.8343

```
data_KLi2Mo
_cell_length_a 4.966
_cell_length_b 2.679
_cell_length_c 7.031
_cell_angle_alpha 81.47
_cell_angle_beta 90.00
_cell_angle_gamma 90.00
_space_group_name_H-M_alt 'P 1'
_space_group_IT_number 1
loop_
_space_group_symop_operation_xyz
'x,y,z'
loop_
_atom_site_label
_atom_site_fract_x
_atom_site_fract_y
_atom_site_fract_z
Li1 0.500 0.044 0.280
Li2 0.000 0.129 0.064
K1 0.500 0.834 0.746
Mo1 0.000 0.493 0.410
```

=====

Density functional theory data (PBE) for KLiMo2 after structural relaxation.

Calculated values
Electronic total energy, eV/atom: -5.526
Space group: Pm (6)
Energy relative to the lowest polymorph listed for this composition, meV/atom: 0
DFT formation energy, eV/atom: 0.6422

```
data_KLiMo2
_cell_length_a 3.252
_cell_length_b 3.281
_cell_length_c 9.263
_cell_angle_alpha 71.52
_cell_angle_beta 90.00
_cell_angle_gamma 90.00
_space_group_name_H-M_alt 'P 1'
_space_group_IT_number 1
loop_
_space_group_symop_operation_xyz
'x,y,z'
loop_
_atom_site_label
_atom_site_fract_x
_atom_site_fract_y
_atom_site_fract_z
Mo1 0.000 0.001 0.026
Mo2 0.500 0.319 0.159
K1 0.000 0.499 0.485
Li1 0.500 0.682 0.831
```

=====

Summary of theoretical density in g cm⁻³
6.2, 2.2, 3.0, 2.0, 2.3, 6.0, 5.5, 2.3, 3.9, 5.1, 2.7, 4.2
(order as listed above)